Record 1
! GGA-PBE HgHI3, relaxed; values from VASP
&SYSTEM
  ibrav = 0, nat = 5, ntyp = 3
/
ATOMIC_SPECIES
I 126.90 I.upf
H 1.01 H.upf
Hg 200.59 Hg.upf
CELL_PARAMETERS angstrom
-0.3761 1.0880 -5.0804
2.9594 -4.1418 -1.1061
-4.2704 -2.9661 -0.3191
ATOMIC_POSITIONS angstrom
I -2.1352 -1.4830 -0.1595
I 1.4797 -2.0709 -0.5530
I -0.1880 0.5440 -2.5402
H 0.0000 0.0000 0.0000
Hg -0.8436 -3.0100 -3.2528
! Calculated volume: 28.3 Å³/atom
! Energy above the lowest structure with this stoichiometry: 756 meV/atom
! Calculated total energy: -1.0552 eV/atom
! Total moment: 0.8 μB per formula unit

Record 2
! GGA-PBE Nd2Sm2Ag, relaxed; values from VASP
&SYSTEM
  ibrav = 0, nat = 5, ntyp = 3
/
ATOMIC_SPECIES
Nd 144.24 Nd.upf
Sm 150.36 Sm.upf
Ag 107.87 Ag.upf
CELL_PARAMETERS angstrom
-1.7565 -2.0651 -2.4782
2.8617 0.3050 -2.2824
4.1384 -8.6410 6.9895
ATOMIC_POSITIONS angstrom
Nd 3.4217 -6.7034 0.4388
Nd 1.8219 -3.6978 1.7901
Sm 1.3251 -2.4479 -1.6213
Sm 3.9185 -7.9532 3.8502
Ag 0.0000 0.0000 0.0000
! Calculated volume: 31.2 Å³/atom
! Calculated total energy: -4.4563 eV/atom
! ΔE_f: -0.0912 eV per atom
! Total moment: 0.0 μB per formula unit

Record 3
! GGA-PBE CrP4Se, relaxed; values from VASP
&SYSTEM
  ibrav = 0, nat = 6, ntyp = 3
/
ATOMIC_SPECIES
Cr 52.00 Cr.upf
P 30.97 P.upf
Se 78.96 Se.upf
CELL_PARAMETERS angstrom
-4.1948 -2.5914 -2.4357
-5.1275 1.8926 0.6088
-2.5876 2.3459 -4.2479
ATOMIC_POSITIONS angstrom
Cr 0.0000 0.0000 0.0000
P -6.4515 -0.4012 -3.4114
P -5.7960 1.6124 -4.1505
P -6.8319 1.4275 -2.1698
P -4.7407 0.6556 -2.4180
Se -8.9325 1.2353 -4.5561
! Calculated volume: 19.6 Å³/atom
! Calculated total energy: -5.1523 eV/atom
! Total moment: 4.0 μB per formula unit
! Formation energy (no corrections): 0.639 eV per atom

Record 4
! GGA-PBE BaMgGa2Fe, relaxed; values from VASP
&SYSTEM
  ibrav = 0, nat = 5, ntyp = 4
/
ATOMIC_SPECIES
Fe 55.84 Fe.upf
Ga 69.72 Ga.upf
Ba 137.33 Ba.upf
Mg 24.30 Mg.upf
CELL_PARAMETERS angstrom
-3.3643 -3.3594 0.0932
0.2187 -0.3504 -4.7373
3.5028 -3.4963 0.4203
ATOMIC_POSITIONS angstrom
Fe 0.0000 0.0000 0.0000
Ga -1.6822 -1.6797 0.0466
Ga 0.1093 -0.1752 -2.3687
Ba 0.1786 -3.6031 -2.1119
Mg 1.7514 -1.7482 0.2102
! Calculated volume: 22.5 Å³/atom
! Calculated total energy: -3.8166 eV/atom
! ΔE_f: -0.2098 eV per atom
! Total moment: 0.0 μB per formula unit

Record 5
! GGA-PBE Ca3CdF, relaxed; values from VASP
&SYSTEM
  ibrav = 0, nat = 5, ntyp = 3
/
ATOMIC_SPECIES
Cd 112.41 Cd.upf
Ca 40.08 Ca.upf
F 19.00 F.upf
CELL_PARAMETERS angstrom
5.0401 0.0000 0.0000
0.0000 5.0401 0.0000
0.0000 0.0000 5.0401
ATOMIC_POSITIONS angstrom
Cd 2.5200 2.5200 2.5200
Ca 2.5200 0.0000 0.0000
Ca 0.0000 0.0000 2.5200
Ca 0.0000 2.5200 0.0000
F 0.0000 0.0000 0.0000
! Calculated volume: 25.6 Å³/atom
! Energy above the lowest structure with this stoichiometry: 0 meV/atom
! Calculated total energy: -2.9241 eV/atom
! Total moment: 0.0 μB per formula unit
! Formation energy (no corrections): -1.166 eV per atom

Record 6
! GGA-PBE ZrTe2RuN, relaxed; values from VASP
&SYSTEM
  ibrav = 0, nat = 5, ntyp = 4
/
ATOMIC_SPECIES
N 14.01 N.upf
Te 127.60 Te.upf
Zr 91.22 Zr.upf
Ru 101.07 Ru.upf
CELL_PARAMETERS angstrom
-1.8747 -4.8187 1.6055
1.1629 -2.0732 -4.8643
3.3601 -0.9103 1.1913
ATOMIC_POSITIONS angstrom
N 1.6801 -0.4552 0.5956
Te -0.9373 -2.4093 0.8028
Te 0.5814 -1.0366 -2.4322
Zr 1.3242 -3.9011 -1.0338
Ru 0.0000 0.0000 0.0000
! Calculated volume: 21.6 Å³/atom
! Energy above the lowest structure with this stoichiometry: 0 meV/atom
! Calculated total energy: -6.3337 eV/atom
! Total moment: 0.8 μB per formula unit
! Formation energy (no corrections): 0.153 eV per atom

Record 7
! GGA-PBE KBaTlF6, relaxed; values from VASP
&SYSTEM
  ibrav = 0, nat = 18, ntyp = 4
/
ATOMIC_SPECIES
F 19.00 F.upf
Tl 204.38 Tl.upf
K 39.10 K.upf
Ba 137.33 Ba.upf
CELL_PARAMETERS angstrom
-2.7558 -3.3553 4.6620
4.6575 -2.6084 -3.4771
7.2178 3.6748 6.9113
ATOMIC_POSITIONS angstrom
F 2.0259 -3.4389 1.9348
F 2.9571 -3.4763 4.7396
F 9.2755 1.2116 3.8499
F 8.9101 -1.4027 5.6216
F 6.1624 1.1873 3.3566
F 7.0937 1.1499 6.1613
F 6.0364 -1.5610 4.9496
F 0.9990 -1.0961 5.5189
F 8.1205 -1.1929 2.5772
F 3.0832 -0.7279 3.1466
F -0.1560 -3.5005 4.2462
F 0.2094 -0.8862 2.4746
Tl 7.5998 -0.1013 4.4194
Tl 1.5198 -2.1877 3.6768
K 3.9909 -1.9387 0.9637
K 5.1287 -0.3503 7.1324
Ba 3.6089 1.8374 3.4556
Ba 0.0000 0.0000 0.0000
! Calculated volume: 20.8 Å³/atom
! Calculated total energy: -4.5952 eV/atom
! Total moment: 0.0 μB per formula unit
! Formation energy (no corrections): -2.749 eV per atom

Record 8
! GGA-PBE InHg3H6, relaxed; values from VASP
&SYSTEM
  ibrav = 0, nat = 10, ntyp = 3
/
ATOMIC_SPECIES
H 1.01 H.upf
Hg 200.59 Hg.upf
In 114.82 In.upf
CELL_PARAMETERS angstrom
-1.8104 3.2078 -6.1047
2.0855 -5.1089 -0.5273
-4.1313 -0.7117 3.6269
ATOMIC_POSITIONS angstrom
H -3.3133 0.5750 0.4041
H -4.2899 2.4708 -3.2506
H -0.3190 -0.3379 -5.9041
H -1.2337 -1.2263 -0.5482
H 0.7857 -2.3243 -2.3350
H -1.9030 0.1542 -3.0110
Hg 0.7566 -1.8888 -0.3805
Hg -1.6544 -0.1835 1.2305
Hg -2.4129 -1.5071 -2.0157
In -0.9919 1.7574 -3.3446
! Calculated volume: 15.5 Å³/atom
! Calculated total energy: -1.9671 eV/atom
! Total moment: 0.0 μB per formula unit

Record 9
! GGA-PBE Pm2Nd5Au4, relaxed; values from VASP
&SYSTEM
  ibrav = 0, nat = 11, ntyp = 3
/
ATOMIC_SPECIES
Nd 144.24 Nd.upf
Pm 145.00 Pm.upf
Au 196.97 Au.upf
CELL_PARAMETERS angstrom
3.9007 0.0000 0.0000
0.0000 7.0961 -0.7488
-1.9504 -4.9230 12.8561
ATOMIC_POSITIONS angstrom
Nd 1.9504 -2.6317 10.0429
Nd 1.9504 0.0000 0.0000
Nd 0.0000 1.2289 3.1406
Nd 0.0000 4.8048 2.0645
Nd 1.9504 0.9442 8.9667
Pm 0.0000 2.9022 6.4399
Pm 1.9504 -0.7291 5.6675
Au 1.9504 3.3551 4.0788
Au 1.9504 -0.1168 11.8250
Au 0.0000 -1.1820 8.0285
Au 0.0000 2.2899 0.2824
! Calculated volume: 31.0 Å³/atom
! Calculated total energy: -4.6447 eV/atom
! ΔE_f: -0.4220 eV per atom
! Total moment: 0.0 μB per formula unit

Record 10
! GGA-PBE Zn2HgPdN, relaxed; values from VASP
&SYSTEM
  ibrav = 0, nat = 5, ntyp = 4
/
ATOMIC_SPECIES
Zn 65.41 Zn.upf
Pd 106.42 Pd.upf
N 14.01 N.upf
Hg 200.59 Hg.upf
CELL_PARAMETERS angstrom
-0.8226 3.7638 -3.4306
1.5396 -2.2458 -2.8330
-4.6743 -1.9373 -1.0046
ATOMIC_POSITIONS angstrom
Zn -0.4113 1.8819 -1.7153
Zn -2.3372 -0.9686 -0.5023
Pd -1.9787 -0.2096 -3.6341
N 0.7698 -1.1229 -1.4165
Hg 0.0000 0.0000 0.0000
! Calculated volume: 20.9 Å³/atom
! Calculated total energy: -1.9516 eV/atom
! Total moment: 0.0 μB per formula unit
! Formation energy (no corrections): 1.322 eV per atom

Record 11
! GGA-PBE Sr3Ga2N4, relaxed; values from VASP
&SYSTEM
  ibrav = 0, nat = 36, ntyp = 3
/
ATOMIC_SPECIES
Sr 87.62 Sr.upf
N 14.01 N.upf
Ga 69.72 Ga.upf
CELL_PARAMETERS angstrom
5.9933 0.0000 0.0000
0.0000 9.6199 0.0000
0.0000 0.0000 10.3647
ATOMIC_POSITIONS angstrom
Sr 2.3500 8.7690 3.5862
Sr 0.6467 8.7690 6.7785
Sr 2.3500 5.6609 1.5961
Sr 0.6467 5.6609 8.7685
Sr 1.4983 8.7060 0.0000
Sr 3.6434 0.8510 6.7785
Sr 5.3466 3.9590 1.5961
Sr 1.4983 5.7239 5.1823
Sr 4.4950 3.8960 5.1823
Sr 5.3466 0.8510 3.5862
Sr 3.6434 3.9590 8.7685
Sr 4.4950 0.9139 0.0000
N 3.7278 6.0160 3.6675
N 2.9536 3.2008 0.9965
N 3.0397 8.0108 6.1788
N 5.2622 8.4139 8.8499
N 5.2622 6.0160 6.6972
N 2.9536 1.6092 4.1858
N 3.7278 8.4139 1.5148
N 2.2655 3.6040 6.6972
N 5.9503 8.0108 4.1858
N 0.0430 3.2008 9.3682
N 0.7312 1.2060 1.5148
N 2.2655 1.2060 8.8499
N 0.7312 3.6040 3.6675
N 0.0430 1.6092 6.1788
N 5.9503 6.4191 0.9965
N 3.0397 6.4191 9.3682
Ga 2.0333 2.4050 2.5912
Ga 1.4983 2.2177 0.0000
Ga 5.0300 7.2149 2.5912
Ga 3.9600 7.2149 7.7735
Ga 1.4983 2.5923 5.1823
Ga 4.4950 7.4023 0.0000
Ga 0.9634 2.4050 7.7735
Ga 4.4950 7.0276 5.1823
! Calculated volume: 16.6 Å³/atom
! Energy above the lowest structure with this stoichiometry: 0 meV/atom
! Calculated total energy: -5.5446 eV/atom
! Total moment: 0.0 μB per formula unit
! Formation energy (no corrections): -0.611 eV per atom

Record 12
! GGA-PBE AcSm4Er5, relaxed; values from VASP
&SYSTEM
  ibrav = 0, nat = 10, ntyp = 3
/
ATOMIC_SPECIES
Er 167.26 Er.upf
Sm 150.36 Sm.upf
Ac 227.00 Ac.upf
CELL_PARAMETERS angstrom
6.4005 0.0000 0.0000
3.2002 7.3283 0.0000
3.2002 0.0000 7.3283
ATOMIC_POSITIONS angstrom
Er 4.4924 0.0000 0.0000
Er 2.8249 4.4914 0.6554
Er 6.0251 0.6554 2.8369
Er 9.2254 2.8369 6.6729
Er 6.0251 6.6729 4.4914
Sm 6.0982 3.0001 5.1327
Sm 6.0982 4.3281 2.1955
Sm 2.8979 2.1955 3.0001
Sm 9.2984 5.1327 4.3281
Ac 1.4843 0.0000 0.0000
! Calculated volume: 34.4 Å³/atom
! Energy above the lowest structure with this stoichiometry: 107 meV/atom
! Calculated total energy: -4.2518 eV/atom
! ΔE_f: 0.3281 eV per atom
! Total moment: 0.0 μB per formula unit

Record 13
! GGA-PBE K2NaBi2Pb, relaxed; values from VASP
&SYSTEM
  ibrav = 0, nat = 12, ntyp = 4
/
ATOMIC_SPECIES
Na 22.99 Na.upf
Bi 208.98 Bi.upf
Pb 207.20 Pb.upf
K 39.10 K.upf
CELL_PARAMETERS angstrom
-4.2807 5.7055 -1.7582
-3.5068 -0.6048 6.5752
9.5713 2.7939 1.1111
ATOMIC_POSITIONS angstrom
Na -2.6301 -0.4536 4.9314
Na -0.8767 -0.1512 1.6438
Bi 3.6874 2.4786 6.4451
Bi -1.9035 5.4160 -0.5170
Bi 3.3825 5.5243 2.3121
Bi -1.5987 2.3703 3.6159
Pb -4.7704 2.3992 4.0523
Pb -3.0170 2.7016 0.7647
K 0.9084 4.6428 5.1621
K -3.0235 5.8091 3.1724
K 4.8073 2.0855 2.7557
K 0.8754 3.2519 0.7660
! Calculated volume: 39.2 Å³/atom
! Calculated total energy: -2.8270 eV/atom
! ΔE_f: -0.3296 eV per atom
! Total moment: 0.0 μB per formula unit

Record 14
! GGA-PBE RbPaC2O8, relaxed; values from VASP
&SYSTEM
  ibrav = 0, nat = 12, ntyp = 4
/
ATOMIC_SPECIES
O 16.00 O.upf
Pa 231.04 Pa.upf
Rb 85.47 Rb.upf
C 12.01 C.upf
CELL_PARAMETERS angstrom
5.2089 0.0000 0.0000
-2.6044 4.5110 0.0000
0.0000 0.0000 8.2715
ATOMIC_POSITIONS angstrom
O 1.3548 1.0811 2.8405
O 1.2497 3.4299 5.4310
O -0.9908 3.8783 5.4310
O 3.5952 0.6327 2.8405
O 0.0000 3.0073 7.2469
O -0.2589 1.7138 5.4310
O 2.8633 2.7972 2.8405
O 2.6044 1.5037 1.0246
Pa 0.0000 0.0000 4.1358
Rb 0.0000 0.0000 0.0000
C 0.0000 3.0073 5.9000
C 2.6044 1.5037 2.3715
! Calculated volume: 16.2 Å³/atom
! Calculated total energy: -7.4169 eV/atom
! Total moment: 2.0 μB per formula unit
! Formation energy (no corrections): -1.702 eV per atom

Record 15
! GGA-PBE ErTm12Co5, relaxed; values from VASP
&SYSTEM
  ibrav = 0, nat = 18, ntyp = 3
/
ATOMIC_SPECIES
Tm 168.93 Tm.upf
Co 58.93 Co.upf
Er 167.26 Er.upf
CELL_PARAMETERS angstrom
-1.8769 7.8919 -1.4289
-6.8108 -4.5291 0.9733
4.3170 -0.8380 6.9647
ATOMIC_POSITIONS angstrom
Tm -3.4213 4.0063 -0.6598
Tm -3.6417 -3.6182 6.2156
Tm -3.4907 -0.1224 4.9957
Tm -0.9494 -1.4815 7.1689
Tm -0.7289 6.1430 0.2935
Tm -2.1952 2.9873 4.9610
Tm -4.5234 -3.1078 2.6528
Tm 0.1528 5.6326 3.8563
Tm -4.3476 2.0128 2.2888
Tm -0.8799 2.6473 1.5134
Tm -2.1754 -0.4624 1.5481
Tm -0.0231 0.5121 4.2204
Co -3.2369 1.2529 -0.1698
Co 0.0000 0.0000 0.0000
Co -5.4508 2.1099 -0.2859
Co 0.9388 2.9217 3.6631
Co -5.3095 -0.3968 2.8460
Er -1.2469 -2.6835 3.9690
! Calculated volume: 23.8 Å³/atom
! Calculated total energy: -5.3625 eV/atom
! ΔE_f: -0.1541 eV per atom
! Total moment: 0.0 μB per formula unit

Record 16
! GGA-PBE Mg2CrSi2Ir5, relaxed; values from VASP
&SYSTEM
  ibrav = 0, nat = 20, ntyp = 4
/
ATOMIC_SPECIES
Cr 52.00 Cr.upf
Ir 192.22 Ir.upf
Mg 24.30 Mg.upf
Si 28.09 Si.upf
CELL_PARAMETERS angstrom
-0.5011 3.1986 -0.8801
-7.9688 -2.4866 -4.5004
-4.9428 1.4181 7.9685
ATOMIC_POSITIONS angstrom
Cr 0.0000 0.0000 0.0000
Cr -6.4558 -0.5343 1.7340
Ir -5.4437 1.6721 2.7815
Ir -5.1290 0.9560 -0.0004
Ir -11.1880 0.9337 3.3685
Ir -2.2246 1.1964 -0.7805
Ir -4.7630 2.5504 5.5863
Ir -7.9689 0.4580 -0.1935
Ir -2.7219 2.3084 3.5442
Ir -8.2836 1.1741 2.5884
Ir -4.2349 0.3560 -2.6902
Ir -8.6496 -0.4203 -2.9983
Mg -2.9913 0.0381 1.8418
Mg -6.2029 -1.4269 -1.6543
Mg -9.9202 -1.1066 1.6262
Mg -6.7087 0.3584 5.1224
Si -8.7737 -1.6396 -0.9638
Si -9.3177 -0.3292 4.1089
Si -3.5938 -0.7393 -0.6409
Si -4.1379 0.5711 4.4319
! Calculated volume: 15.1 Å³/atom
! Calculated total energy: -7.1976 eV/atom
! Total moment: 2.6 μB per formula unit
! Formation energy (no corrections): -0.401 eV per atom

Record 17
! GGA-PBE HgGeTe2I, relaxed; values from VASP
&SYSTEM
  ibrav = 0, nat = 5, ntyp = 4
/
ATOMIC_SPECIES
I 126.90 I.upf
Te 127.60 Te.upf
Hg 200.59 Hg.upf
Ge 72.64 Ge.upf
CELL_PARAMETERS angstrom
5.6264 0.0000 0.0000
0.0000 5.6264 0.0000
0.0000 0.0000 5.7972
ATOMIC_POSITIONS angstrom
I 0.0000 0.0000 2.8986
Te 0.0000 2.8132 0.0000
Te 2.8132 0.0000 0.0000
Hg 0.0000 0.0000 0.0000
Ge 2.8132 2.8132 2.8986
! Calculated volume: 36.7 Å³/atom
! Energy above the lowest structure with this stoichiometry: 359 meV/atom
! Calculated total energy: -1.9014 eV/atom
! Total moment: 0.0 μB per formula unit
! Formation energy (no corrections): 0.649 eV per atom

Record 18
! GGA-PBE CeTh5S6, relaxed; values from VASP
&SYSTEM
  ibrav = 0, nat = 12, ntyp = 3
/
ATOMIC_SPECIES
S 32.06 S.upf
Th 232.04 Th.upf
Ce 140.12 Ce.upf
CELL_PARAMETERS angstrom
-3.5524 5.6556 2.0801
-1.5323 -0.5808 6.8014
4.4411 2.4625 4.8089
ATOMIC_POSITIONS angstrom
S -3.8185 3.8105 6.6711
S -0.3371 5.6536 7.5968
S -1.2662 1.2643 2.2104
S 0.6787 2.5191 9.9680
S -1.3223 5.0181 3.7225
S -0.3065 1.8837 6.0936
Th 1.9389 1.2542 7.7401
Th -1.5680 3.1671 8.3121
Th -2.5424 2.5374 4.4408
Th 0.9700 0.6274 3.8702
Th 0.9245 4.3702 5.3783
Ce 0.0000 0.0000 0.0000
! Calculated volume: 23.3 Å³/atom
! Calculated total energy: -7.5326 eV/atom
! Total moment: 0.4 μB per formula unit
! Formation energy (no corrections): -1.883 eV per atom

Record 19
! GGA-PBE Rb3CuAs, relaxed; values from VASP
&SYSTEM
  ibrav = 0, nat = 5, ntyp = 3
/
ATOMIC_SPECIES
Rb 85.47 Rb.upf
As 74.92 As.upf
Cu 63.55 Cu.upf
CELL_PARAMETERS angstrom
6.6179 0.0000 0.0000
0.0000 6.6179 0.0000
0.0000 0.0000 6.6179
ATOMIC_POSITIONS angstrom
Rb 0.0000 0.0000 3.3090
Rb 3.3090 0.0000 0.0000
Rb 0.0000 3.3090 0.0000
As 0.0000 0.0000 0.0000
Cu 3.3090 3.3090 3.3090
! Calculated volume: 58.0 Å³/atom
! Energy above the lowest structure with this stoichiometry: 280 meV/atom
! Calculated total energy: -2.1005 eV/atom
! ΔE_f: 0.2292 eV per atom
! Total moment: 1.0 μB per formula unit

Record 20
! GGA-PBE TcTePt4, relaxed; values from VASP
&SYSTEM
  ibrav = 0, nat = 6, ntyp = 3
/
ATOMIC_SPECIES
Pt 195.08 Pt.upf
Tc 98.00 Tc.upf
Te 127.60 Te.upf
CELL_PARAMETERS angstrom
3.0519 -3.3534 2.8232
3.4709 1.9176 3.5785
-0.8995 -0.6767 5.2213
ATOMIC_POSITIONS angstrom
Pt 3.8400 0.1618 6.1465
Pt 3.6314 -2.4633 5.7704
Pt 2.1115 -0.7932 4.3644
Pt 1.6635 -1.1302 6.9647
Tc 4.2174 -1.5843 8.7173
Te 0.0000 0.0000 0.0000
! Calculated volume: 18.0 Å³/atom
! Calculated total energy: -5.9165 eV/atom
! Total moment: 3.1 μB per formula unit
! Formation energy (no corrections): 0.362 eV per atom